1.
Density functional theory data (GGA-PBE) for a relaxed structure of NaMg6Cr.

The structure in POSCAR format:
```
NaMg6Cr
1.0
5.1277 0.0000 0.0000
0.0000 3.2281 5.5058
0.0000 -3.2281 5.5058
Na Mg Cr
1 6 1
Direct
0.0000 0.0000 0.0000
0.0000 0.0016 0.5013
0.0000 0.5013 0.0016
0.5000 0.1718 0.1718
0.5000 0.1825 0.6590
0.5000 0.6590 0.1825
0.5000 0.6657 0.6657
0.0000 0.5010 0.5010
```

Summary:
Final energy in eV/atom: -2.362
Calculated formation energy in eV per formula unit: 1.61
ΔE to the lowest computed polymorph in meV/atom: 0

2.
Density functional theory data (GGA-PBE) for a relaxed structure of Cs2MgF.

The structure in POSCAR format:
```
Cs2MgF
1.0
8.8375 -2.9773 0.0000
8.8375 2.9773 0.0000
-0.2011 0.0000 6.5009
Cs Mg F
4 2 2
Direct
0.0000 0.0000 0.0000
0.1752 0.1752 0.5067
0.5183 0.5183 0.5103
0.8382 0.8382 0.4760
0.3087 0.3087 0.0065
0.7143 0.7143 0.9530
0.0079 0.0079 0.5049
0.6800 0.6800 0.6624
```

Summary:
Final energy in eV/atom: -2.472
Raw formation energy in kJ per mole of atoms: -113.7
ΔE to the lowest computed polymorph in meV/atom: 24

3.
Density functional theory data (GGA-PBE) for a relaxed structure of Nd4Y8Er3.

The structure in POSCAR format:
```
Nd4Y8Er3
1.0
3.4979 2.0195 11.8502
-3.4979 2.0195 11.8502
0.0000 -4.0391 11.8502
Nd Y Er
4 8 3
Direct
0.0000 0.0000 0.0000
0.1638 0.1638 0.1638
0.5000 0.5000 0.5000
0.8362 0.8362 0.8362
0.2498 0.2498 0.7471
0.2498 0.7471 0.2498
0.2529 0.7502 0.7502
0.2554 0.2554 0.2554
0.7446 0.7446 0.7446
0.7471 0.2498 0.2498
0.7502 0.2529 0.7502
0.7502 0.7502 0.2529
0.0000 0.5000 0.5000
0.5000 0.0000 0.5000
0.5000 0.5000 0.0000
```

Summary:
Final energy in eV/atom: -5.507
Calculated formation energy in eV per formula unit: 1.87
ΔE to the lowest computed polymorph in meV/atom: 0